DFT (GGA-PBE) results for a relaxed SrLiV2B crystal.

abc: 4.344 4.344 4.845
angles: 90.00 90.00 90.00
Space group P4/mmm (No. 123)
Inequivalent atoms, fractional coordinates:
Sr (0.000, 0.000, 0.000) [1 per cell]
Li (0.500, 0.500, 0.000) [1 per cell]
V (0.000, 0.500, 0.500) [2 per cell]
B (0.500, 0.500, 0.500) [1 per cell]



DFT (GGA-PBE) results for a relaxed Sr2LiYB crystal.

abc: 5.840 5.840 4.338
angles: 90.00 90.00 90.00
Space group P4/mmm (No. 123)
Inequivalent atoms, fractional coordinates:
Sr (0.000, 0.500, 0.000) [2 per cell]
Li (0.000, 0.000, 0.000) [1 per cell]
Y (0.500, 0.500, 0.500) [1 per cell]
B (0.000, 0.000, 0.500) [1 per cell]



DFT (GGA-PBE) results for a relaxed LiTaB2 crystal.

Summary:
For the distance to the lowest polymorph of the same formula, the calculation gives 499 meV/atom.

abc: 3.667 3.667 15.711
angles: 90.00 90.00 90.00
Space group I-42d (No. 122)
Inequivalent atoms, fractional coordinates:
Li (0.000, 0.000, 0.000) [4 per cell]
Ta (0.000, 0.000, 0.500) [4 per cell]
B (0.122, 0.250, 0.625) [8 per cell]



DFT (GGA-PBE) results for a relaxed LiTaB4 crystal.

abc: 7.004 8.966 3.223
angles: 90.00 90.00 90.00
Space group Cmmm (No. 65)
Inequivalent atoms, fractional coordinates:
Li (0.170, 0.000, 0.000) [4 per cell]
Ta (0.000, 0.299, 0.000) [4 per cell]
B (0.000, 0.096, 0.500) [4 per cell]
B (0.121, 0.500, 0.500) [4 per cell]
B (0.225, 0.160, 0.500) [8 per cell]



Total magnetization values, unit μB/cell, following the record order: 4.47, 0.00, 0.00, 0.00.
Density of states at the Fermi level values, unit states/eV/cell, following the record order: 3.88, 6.59, 0.02, 3.28.
Raw total energy values, unit eV per cell, following the record order: -25.77, -14.30, -93.77, -168.58.